# ReAs3W (GGA-PBE, relaxed)
data_ReAs3W
_symmetry_space_group_name_H-M 'P m -3 m'
_symmetry_Int_Tables_number 221
_symmetry_space_group_name_Hall '-P 4 2 3'
_cell_length_a 4.802
_cell_length_b 4.802
_cell_length_c 4.802
_cell_angle_alpha 90.00
_cell_angle_beta 90.00
_cell_angle_gamma 90.00
loop_
_atom_site_label
_atom_site_type_symbol
_atom_site_fract_x
_atom_site_fract_y
_atom_site_fract_z
Re1 Re 0.000 0.000 0.000
As1 As 0.000 0.000 0.500
W1 W 0.500 0.500 0.500
# - Formation enthalpy at 0 K: 1443 meV/atom
# - Total magnetization: 3.48 μB/f.u.
# - Total DFT energy (no corrections): -6.427 eV per atom
# - Offset from the most stable computed form: 1457 meV per atom